Material: Ac4Sm3Y2
Method: DFT, GGA-PBE
State: relaxed

As for the energy: -0.17599 hartree per atom. For the formation energy, the calculation gives 47 meV/atom.

a b c (Å): 5.413 6.452 11.314
angles (deg): 74.80 90.00 65.26
Sites, in units of the cell vectors:
1 Ac 0.666 0.668 0.889
2 Ac 0.004 0.992 0.333
3 Ac 0.996 0.008 0.667
4 Ac 0.334 0.332 0.111
5 Sm 0.335 0.331 0.448
6 Sm 0.000 0.000 0.000
7 Sm 0.665 0.669 0.552
8 Y 0.328 0.344 0.772
9 Y 0.672 0.656 0.228